# PmNi5Ge2

PmNi5Ge2 after structural relaxation (PBE-GGA, the Alexandria database).

Results
The formation energy from the elements comes out at -0.43 eV per atom. For the volume, the calculation gives 14.51 A^3/atom. The spin magnetization is 0.0 Bohr magnetons per cell. The calculation puts the raw total energy at -5.79 eV per atom. Its space group is No. 71.

Cell and atoms, written as CIF:
```
data_PmNi5Ge2
_cell_length_a 6.031
_cell_length_b 6.031
_cell_length_c 6.031
_cell_angle_alpha 144.02
_cell_angle_beta 112.74
_cell_angle_gamma 78.71
_space_group_name_H-M_alt 'P 1'
_space_group_IT_number 1
_space_group_name_Hall 'P 1'
loop_
_atom_site_label
_atom_site_fract_x
_atom_site_fract_y
_atom_site_fract_z
_atom_site_occupancy
Pm1 0.000 0.000 0.000 1
Ni1 0.173 0.359 0.815 1
Ni2 0.456 0.641 0.815 1
Ni3 0.500 0.000 0.500 1
Ni4 0.544 0.359 0.185 1
Ni5 0.827 0.641 0.185 1
Ge1 0.253 0.753 0.500 1
Ge2 0.747 0.247 0.500 1
```

***

# Nd3SmOs

Nd3SmOs after structural relaxation (PBE-GGA, the Alexandria database).

Results
The formation energy from the elements comes out at -0.08 eV per atom. For the volume, the calculation gives 32.57 A^3/atom. The spin magnetization is 0.0 Bohr magnetons per cell. The calculation puts the raw total energy at -6.13 eV per atom. The value obtained for the energy above the most stable polymorph in this dataset is 0.000 eV per atom. Its space group is No. 12.

Cell and atoms, written as CIF:
```
data_Nd3SmOs
_cell_length_a 7.502
_cell_length_b 7.502
_cell_length_c 8.411
_cell_angle_alpha 123.95
_cell_angle_beta 123.95
_cell_angle_gamma 72.07
_space_group_name_H-M_alt 'P 1'
_space_group_IT_number 1
_space_group_name_Hall 'P 1'
loop_
_atom_site_label
_atom_site_fract_x
_atom_site_fract_y
_atom_site_fract_z
_atom_site_occupancy
Nd1 0.052 0.052 0.348 1
Nd2 0.054 0.448 0.205 1
Nd3 0.448 0.054 0.205 1
Nd4 0.552 0.946 0.795 1
Nd5 0.946 0.552 0.795 1
Nd6 0.948 0.948 0.652 1
Sm1 0.448 0.448 0.748 1
Sm2 0.552 0.552 0.252 1
Os1 0.251 0.251 0.871 1
Os2 0.749 0.749 0.129 1
```

***

# BeZn2PtW

BeZn2PtW after structural relaxation (PBE-GGA, the Alexandria database).

Results
The formation energy from the elements comes out at 0.60 eV per atom. For the volume, the calculation gives 14.45 A^3/atom. The spin magnetization is 0.0 Bohr magnetons per cell. The calculation puts the raw total energy at -4.46 eV per atom. Its space group is No. 123.

Cell and atoms, written as CIF:
```
data_BeZn2PtW
_cell_length_a 4.198
_cell_length_b 4.198
_cell_length_c 4.099
_cell_angle_alpha 90.00
_cell_angle_beta 90.00
_cell_angle_gamma 90.00
_space_group_name_H-M_alt 'P 1'
_space_group_IT_number 1
_space_group_name_Hall 'P 1'
loop_
_atom_site_label
_atom_site_fract_x
_atom_site_fract_y
_atom_site_fract_z
_atom_site_occupancy
Be1 0.000 0.000 0.000 1
Zn1 0.000 0.500 0.000 1
Zn2 0.500 0.000 0.000 1
Pt1 0.000 0.000 0.500 1
W1 0.500 0.500 0.500 1
```

***

# CeSnSe

CeSnSe after structural relaxation (PBE-GGA, the Alexandria database).

Results
For the volume, the calculation gives 26.06 A^3/atom. The spin magnetization is 0.8 Bohr magnetons per cell. The calculation puts the raw formation energy at -119 kJ per mole of atoms. The calculation puts the raw total energy at -5.71 eV per atom. Its space group is No. 139.

Cell and atoms, written as CIF:
```
data_CeSnSe
_cell_length_a 9.405
_cell_length_b 9.405
_cell_length_c 9.405
_cell_angle_alpha 154.29
_cell_angle_beta 154.29
_cell_angle_gamma 36.68
_space_group_name_H-M_alt 'P 1'
_space_group_IT_number 1
_space_group_name_Hall 'P 1'
loop_
_atom_site_label
_atom_site_fract_x
_atom_site_fract_y
_atom_site_fract_z
_atom_site_occupancy
Ce1 0.150 0.150 0.000 1
Ce2 0.850 0.850 0.000 1
Sn1 0.000 0.500 0.500 1
Sn2 0.500 0.000 0.500 1
Se1 0.318 0.318 0.000 1
Se2 0.682 0.682 0.000 1
```